## MgCdOs2S (PBE)

Data for crystalline MgCdOs2S at its relaxed geometry.

Cell: 4.363 4.363 4.997 Å, 90.00 90.00 90.00°
Atoms (fractional coordinates):
Mg (0.000, 0.000, 0.000)
Cd (0.500, 0.500, 0.000)
Os (0.000, 0.500, 0.500)
Os (0.500, 0.000, 0.500)
S (0.500, 0.500, 0.500)

Values from the calculation:
Formation energy from raw total energies, eV/atom: 0.851

## Co2Ru (PBE)

Data for crystalline Co2Ru at its relaxed geometry.

Cell: 11.534 11.534 11.534 Å, 167.23 167.23 18.10°
Atoms (fractional coordinates):
Co (0.294, 0.544, 0.750)
Co (0.456, 0.706, 0.750)
Co (0.544, 0.294, 0.250)
Co (0.706, 0.456, 0.250)
Ru (0.125, 0.875, 0.250)
Ru (0.875, 0.125, 0.750)

Values from the calculation:
E above lowest polymorph, eV per atom: 0.219
Energy relative to the elements, meV/atom: 342

## CrCuSe2 (PBE)

Data for crystalline CrCuSe2 at its relaxed geometry.

Cell: 6.716 6.716 6.716 Å, 32.40 32.40 32.40°
Atoms (fractional coordinates):
Cr (0.000, 0.000, 0.000)
Cu (0.857, 0.857, 0.857)
Se (0.255, 0.255, 0.255)
Se (0.734, 0.734, 0.734)

Values from the calculation:
E above lowest polymorph, eV per atom: 0.000
Formation energy from raw total energies, eV/atom: -0.369

## ZrAsSe2Br (PBE)

Data for crystalline ZrAsSe2Br at its relaxed geometry.

Cell: 5.050 5.050 4.979 Å, 90.00 90.00 90.00°
Atoms (fractional coordinates):
Zr (0.000, 0.000, 0.000)
As (0.500, 0.500, 0.000)
Se (0.000, 0.500, 0.500)
Se (0.500, 0.000, 0.500)
Br (0.500, 0.500, 0.500)

Values from the calculation:
E above lowest polymorph, eV per atom: 0.963
Formation energy from raw total energies, eV/atom: 0.795

## PaBe2Ir2 (PBE)

Data for crystalline PaBe2Ir2 at its relaxed geometry.

Cell: 5.302 5.302 5.302 Å, 134.87 134.87 65.73°
Atoms (fractional coordinates):
Pa (0.000, 0.000, 0.000)
Be (0.374, 0.374, 0.000)
Be (0.626, 0.626, 0.000)
Ir (0.250, 0.750, 0.500)
Ir (0.750, 0.250, 0.500)

Values from the calculation:
E above lowest polymorph, eV per atom: 0.000
Energy relative to the elements, meV/atom: -682